Crystalline MgTa2Co at its relaxed geometry. Source: the Alexandria database, functional GGA-PBE.

a b c (Å): 3.0291 3.0291 26.1801
angles (deg): 90.00 90.00 120.00
Space group R3m (No. 160, hexagonal axes)
Asymmetric unit:
Mg (0.0000, 0.0000, 0.0000) (multiplicity 3)
Ta (0.0000, 0.0000, 0.5190) (multiplicity 3)
Ta (0.0000, 0.0000, 0.7644) (multiplicity 3)
Co (0.0000, 0.0000, 0.2529) (multiplicity 3)

Properties
Electronic total energy ... -7.8726 eV/atom
Energy relative to the elements ... 229 meV per atom